1.
## ReHg2O5 (PBE)

Data for a relaxed structure of ReHg2O5.

Summary:
SG: P-1, No. 2
E_tot: -5.76 eV/atom

Cell lengths 7.921, 8.949, 9.027 Å; angles 113.45, 102.45, 90.95 degrees
Positions (direct):
O1 0.289 0.439 0.947
O2 0.473 0.852 0.625
O3 0.014 0.166 0.324
O4 0.600 0.274 0.096
O5 0.986 0.834 0.676
O6 0.944 0.320 0.056
O7 0.235 0.433 0.596
O8 0.929 0.298 0.640
O9 0.056 0.680 0.944
O10 0.353 0.755 0.217
O11 0.765 0.567 0.404
O12 0.744 0.933 0.979
O13 0.256 0.067 0.021
O14 0.400 0.726 0.904
O15 0.647 0.245 0.783
O16 0.527 0.148 0.375
O17 0.781 0.890 0.402
O18 0.219 0.110 0.598
O19 0.071 0.702 0.360
O20 0.711 0.561 0.053
Hg1 0.343 0.968 0.807
Hg2 0.307 0.324 0.190
Hg3 0.500 0.000 0.500
Hg4 0.629 0.392 0.566
Hg5 0.000 0.000 0.000
Hg6 0.657 0.032 0.193
Hg7 0.371 0.608 0.434
Hg8 0.693 0.676 0.810
Re1 0.274 0.648 0.001
Re2 0.100 0.253 0.542
Re3 0.900 0.747 0.458
Re4 0.726 0.352 0.999

=====

2.
## AgAu3S5 (PBE)

Data for a relaxed structure of AgAu3S5.

Summary:
SG: P6/mmm, No. 191
E_tot: -3.40 eV/atom

Cell lengths 7.075, 7.075, 5.007 Å; angles 90.00, 90.00, 120.00 degrees
Positions (direct):
S1 0.667 0.333 0.787
S2 0.333 0.667 0.787
S3 0.000 0.000 0.500
S4 0.333 0.667 0.213
S5 0.667 0.333 0.213
Au1 0.500 0.500 0.500
Au2 0.500 0.000 0.500
Au3 0.000 0.500 0.500
Ag1 0.000 0.000 0.000

=====

3.
## Sr2TbMo2 (PBE)

Data for a relaxed structure of Sr2TbMo2.

Summary:
SG: I4/mmm, No. 139
E_tot: -4.39 eV/atom

Cell lengths 5.316, 5.316, 6.373 Å; angles 114.65, 114.65, 90.00 degrees
Positions (direct):
Mo1 0.750 0.250 0.500
Mo2 0.250 0.750 0.500
Sr1 0.642 0.642 0.284
Sr2 0.358 0.358 0.716
Tb1 0.000 0.000 0.000

=====

4.
## Sr2Nd (PBE)

Data for a relaxed structure of Sr2Nd.

Summary:
SG: Fd-3m, No. 227
E_tot: -2.28 eV/atom

Cell lengths 7.392, 7.392, 7.392 Å; angles 60.00, 60.00, 60.00 degrees
Last column: magnetic moment on the atom in μB.
Positions (direct):
Nd1 0.250 0.250 0.250  0.39
Nd2 0.000 0.000 0.000  0.39
Sr1 0.125 0.625 0.625  0.04
Sr2 0.625 0.625 0.625  0.02
Sr3 0.625 0.625 0.125  0.02
Sr4 0.625 0.125 0.625  0.02

=====

5.
## LuGaOs (PBE)

Data for a relaxed structure of LuGaOs.

Summary:
SG: F-43m, No. 216
E_tot: -6.23 eV/atom

Cell lengths 4.369, 4.369, 4.369 Å; angles 60.00, 60.00, 60.00 degrees
Positions (direct):
Os1 0.750 0.750 0.750
Lu1 0.250 0.250 0.250
Ga1 0.000 0.000 0.000

=====

6.
## CuTcSnHg (PBE)

Data for a relaxed structure of CuTcSnHg.

Summary:
SG: F-43m, No. 216
E_tot: -3.89 eV/atom

Cell lengths 4.733, 4.733, 4.733 Å; angles 60.00, 60.00, 60.00 degrees
Positions (direct):
Sn1 0.000 0.000 0.000
Hg1 0.250 0.250 0.250
Cu1 0.750 0.750 0.750
Tc1 0.500 0.500 0.500

=====

7.
## Nd2TmIn8 (PBE)

Data for a relaxed structure of Nd2TmIn8.

Summary:
SG: P4/mmm, No. 123
E_tot: -3.65 eV/atom

Cell lengths 4.665, 4.665, 13.506 Å; angles 90.00, 90.00, 90.00 degrees
Positions (direct):
In1 0.500 0.500 0.680
In2 0.500 0.000 0.150
In3 0.000 0.500 0.500
In4 0.500 0.000 0.500
In5 0.500 0.500 0.320
In6 0.500 0.000 0.850
In7 0.000 0.500 0.150
In8 0.000 0.500 0.850
Tm1 0.000 0.000 0.000
Nd1 0.000 0.000 0.672
Nd2 0.000 0.000 0.328

=====

8.
## Zn2FeCo (PBE)

Data for a relaxed structure of Zn2FeCo.

Summary:
ΔH_f (0 K): 0.0144 eV/atom
SG: F-43m, No. 216
E_tot: -4.47 eV/atom

Cell lengths 4.113, 4.113, 4.113 Å; angles 60.00, 60.00, 60.00 degrees
Positions (direct):
Co1 0.500 0.500 0.500
Zn1 0.000 0.000 0.000
Zn2 0.750 0.750 0.750
Fe1 0.250 0.250 0.250

=====

9.
## TmClO (PBE)

Data for a relaxed structure of TmClO.

Summary:
SG: R-3m, No. 166
E_tot: -6.90 eV/atom

Cell lengths 9.489, 9.489, 9.489 Å; angles 22.72, 22.72, 22.72 degrees
Positions (direct):
Tm1 0.283 0.283 0.283
Tm2 0.717 0.717 0.717
O1 0.636 0.636 0.636
O2 0.364 0.364 0.364
Cl1 0.888 0.888 0.888
Cl2 0.112 0.112 0.112

=====

10.
## CdSiPt2 (PBE)

Data for a relaxed structure of CdSiPt2.

Summary:
SG: F-43m, No. 216
E_tot: -4.60 eV/atom

Cell lengths 4.541, 4.541, 4.541 Å; angles 60.00, 60.00, 60.00 degrees
Positions (direct):
Pt1 0.000 0.000 0.000
Pt2 0.750 0.750 0.750
Si1 0.500 0.500 0.500
Cd1 0.250 0.250 0.250

=====

11.
## ReGe2 (PBE)

Data for a relaxed structure of ReGe2.

Summary:
SG: Fm-3m, No. 225
E_tot: -6.75 eV/atom

Cell lengths 4.249, 4.249, 4.249 Å; angles 60.00, 60.00, 60.00 degrees
Positions (direct):
Re1 0.000 0.000 0.000
Ge1 0.750 0.750 0.750
Ge2 0.250 0.250 0.250

=====

12.
## Er5Pb3 (PBE)

Data for a relaxed structure of Er5Pb3.

Summary:
SG: I4/mcm, No. 140
E_tot: -4.69 eV/atom

Cell lengths 9.051, 9.051, 9.051 Å; angles 96.93, 96.93, 139.35 degrees
Last column: magnetic moment on the atom in μB.
Positions (direct):
Pb1 0.164 0.336 0.500  0.00
Pb2 0.664 0.164 0.828  0.00
Pb3 0.250 0.250 0.000  -0.01
Pb4 0.750 0.750 0.000  -0.01
Pb5 0.836 0.664 0.500  0.00
Pb6 0.336 0.836 0.172  0.00
Er1 0.721 0.421 0.142  0.18
Er2 0.079 0.779 0.858  0.18
Er3 0.921 0.221 0.142  0.18
Er4 0.421 0.279 0.700  0.18
Er5 0.221 0.079 0.300  0.18
Er6 0.779 0.921 0.700  0.18
Er7 0.250 0.750 0.500  0.21
Er8 0.750 0.250 0.500  0.21
Er9 0.579 0.721 0.300  0.18
Er10 0.279 0.579 0.858  0.18